Record 1
VASP calculation (PBE) on a relaxed La5NdHo2 crystal.

## Properties
Volume: 35.04 Å³/atom
Energy: -4.81 eV per atom
E_form: 0.01 eV per atom

Unit cell a=5.2061 b=7.3370 c=14.6786 alpha=90.00 beta=90.00 gamma=90.00
Positions (direct):
La (0.5000, 0.7515, 0.6244)
La (0.0000, 0.4970, 0.2492)
La (0.0000, 0.5030, 0.7508)
La (0.5000, 0.2515, 0.8756)
La (0.0000, 0.5000, 0.5000)
La (0.0000, 0.0000, 0.0000)
La (0.5000, 0.2485, 0.3756)
La (0.0000, 0.9970, 0.2508)
La (0.5000, 0.7485, 0.1244)
La (0.0000, 0.0030, 0.7492)
Ho (0.5000, 0.7481, 0.3754)
Ho (0.5000, 0.2519, 0.6246)
Ho (0.5000, 0.7519, 0.8754)
Ho (0.5000, 0.2481, 0.1246)
Nd (0.0000, 0.0000, 0.5000)
Nd (0.0000, 0.5000, 0.0000)

---

Record 2
VASP calculation (PBE) on a relaxed LiY2AgN crystal.

## Properties
Volume: 19.05 Å³/atom
Energy: -5.89 eV per atom

Unit cell a=4.8187 b=4.8187 c=4.1018 alpha=90.00 beta=90.00 gamma=90.00
Positions (direct):
Li (0.0000, 0.0000, 0.5000)
Ag (0.5000, 0.5000, 0.5000)
N (0.0000, 0.0000, 0.0000)
Y (0.0000, 0.5000, 0.0000)
Y (0.5000, 0.0000, 0.0000)

---

Record 3
VASP calculation (PBE) on a relaxed CsZnSb4 crystal.

## Properties
Volume: 37.20 Å³/atom
Energy: -3.18 eV per atom

Unit cell a=7.6584 b=7.1381 c=8.9438 alpha=113.52 beta=85.08 gamma=90.00
Positions (direct):
Sb (0.5981, 0.7798, 0.1542)
Sb (0.6477, 0.2952, 0.5905)
Sb (0.3523, 0.7048, 0.4095)
Sb (0.4019, 0.6256, 0.8458)
Sb (0.5981, 0.3744, 0.1542)
Sb (0.0000, 0.2336, 0.0000)
Sb (0.0000, 0.7664, 0.0000)
Sb (0.4019, 0.2202, 0.8458)
Cs (0.1830, 0.1995, 0.3989)
Cs (0.8170, 0.8005, 0.6011)
Zn (0.1434, 0.5886, 0.1772)
Zn (0.8566, 0.4114, 0.8228)